12
Lattice="3.141 1.814 13.382 -3.141 1.814 13.382 0.000 -3.627 13.382" Properties=species:S:1:pos:R:3 comment="KSi2Te8As PBE optimized geometry" m_tot_mub_per_atom=0.000 dos_at_fermi_per_ev_atom=0.447 e_form_raw_kj_per_mol_fu=-2 volume_a3_per_cell=457.4 spacegroup=R-3 pbc="T T T"
K 0.000 0.000 0.000
Si 0.000 0.000 9.813
Si 0.000 0.000 30.334
Te -1.931 0.324 17.879
Te -1.246 -1.510 22.269
Te 0.000 0.000 12.239
Te 0.685 -1.834 17.879
Te -0.685 1.834 22.269
Te 0.000 0.000 27.909
Te 1.246 1.510 17.879
Te 1.931 -0.324 22.269
As 0.000 0.000 20.074

5
Lattice="4.903 0.000 0.000 0.000 4.903 0.000 0.000 0.000 6.005" Properties=species:S:1:pos:R:3 comment="KSi2TeAs PBE optimized geometry" m_tot_mub_per_atom=0.000 dos_at_fermi_per_ev_atom=0.384 e_form_raw_kj_per_mol_fu=234 volume_a3_per_cell=144.4 spacegroup=P4/mmm pbc="T T T"
K 0.000 0.000 0.000
Si 0.000 2.451 3.003
Si 2.451 0.000 3.003
Te 2.451 2.451 0.000
As 0.000 0.000 3.003

10
Lattice="2.891 -7.248 0.000 2.891 7.248 0.000 0.000 0.000 5.756" Properties=species:S:1:pos:R:3 comment="K2Zn3SiAs4 PBE optimized geometry" m_tot_mub_per_atom=0.000 dos_at_fermi_per_ev_atom=0.136 e_form_raw_kj_per_mol_fu=-330 volume_a3_per_cell=241.2 spacegroup=C222 pbc="T T T"
K 1.446 3.624 1.426
K 1.446 -3.624 4.330
Zn 0.000 0.000 0.000
Zn 2.891 0.000 0.000
Zn 2.891 0.000 2.878
Si 0.000 0.000 2.878
As 1.347 1.533 4.219
As 1.347 -1.533 1.537
As 4.435 1.533 1.537
As 4.435 -1.533 4.219